# Ca2TeF | Alexandria via LeMat-Bulk | PBE | optimized geometry
# Crystal system: cubic
# Calculated volume, Å³/cell: 391.1
# Magnetic moment, μB per formula unit: 0.843
# ΔE_f (raw), eV per formula unit: -6.58
# ΔE to the lowest computed polymorph, meV per atom: 265.2
# D(E_F), states/eV per cell: 15.381
data_Ca2TeF
_chemical_formula_sum 'Ca8 Te4 F4'
_cell_length_a 7.313
_cell_length_b 7.313
_cell_length_c 7.313
_cell_angle_alpha 90.00
_cell_angle_beta 90.00
_cell_angle_gamma 90.00
_symmetry_space_group_name_H-M 'F m -3 m'
_symmetry_Int_Tables_number 225
_symmetry_space_group_name_Hall '-F 4 2 3'
loop_
_atom_site_label
_atom_site_type_symbol
_atom_site_fract_x
_atom_site_fract_y
_atom_site_fract_z
_atom_site_occupancy
Ca1 Ca 0.250 0.250 0.250 1
Te1 Te 0.000 0.000 0.000 1
F1 F 0.000 0.000 0.500 1